No. 1
# Li4V3Ni3Sb2O16, single point on PBEsol structure, DFT SCAN
# E_form (uncorrected) ... -2.054 eV/atom
# DOS at the Fermi energy ... 6.95 states/eV/f.u.
# Space-group type ... Cm, No. 8
# Total energy ... -12.2243 eV/atom
# Magnetization ... 9.0 μB/cell
data_Li4V3Ni3Sb2O16
_cell_length_a 5.771
_cell_length_b 5.806
_cell_length_c 9.621
_cell_angle_alpha 90.12
_cell_angle_beta 90.00
_cell_angle_gamma 119.80
_space_group_name_H-M_alt 'P 1'
_space_group_IT_number 1
_space_group_name_Hall 'P 1'
loop_
_atom_site_label
_atom_site_fract_x
_atom_site_fract_y
_atom_site_fract_z
Li1 0.340 0.681 0.106
Li2 0.000 0.000 0.013
Li3 0.997 0.994 0.508
Li4 0.667 0.334 0.596
V1 0.645 0.821 0.784
V2 0.176 0.821 0.784
V3 0.824 0.648 0.278
Ni1 0.173 0.347 0.789
Ni2 0.833 0.179 0.287
Ni3 0.346 0.179 0.287
Sb1 0.329 0.658 0.504
Sb2 0.663 0.325 0.011
O1 0.669 0.827 0.401
O2 0.483 0.966 0.654
O3 0.343 0.687 0.902
O4 0.993 0.986 0.701
O5 0.991 0.982 0.202
O6 0.158 0.827 0.401
O7 0.492 0.528 0.659
O8 0.036 0.528 0.659
O9 0.833 0.667 0.898
O10 0.158 0.316 0.409
O11 0.972 0.499 0.151
O12 0.528 0.499 0.151
O13 0.684 0.368 0.397
O14 0.831 0.155 0.901
O15 0.521 0.042 0.158
O16 0.324 0.155 0.901

=====

No. 2
# Li9Si2Ni5O16, single point on PBEsol structure, DFT SCAN
# E_form (uncorrected) ... -2.025 eV/atom
# DOS at the Fermi energy ... 8.28 states/eV/f.u.
# Space-group type ... P-1, No. 2
# Total energy ... -8.9658 eV/atom
# Magnetization ... 5.0 μB/cell
data_Li9Si2Ni5O16
_cell_length_a 4.861
_cell_length_b 4.948
_cell_length_c 10.991
_cell_angle_alpha 80.73
_cell_angle_beta 84.77
_cell_angle_gamma 79.50
_space_group_name_H-M_alt 'P 1'
_space_group_IT_number 1
_space_group_name_Hall 'P 1'
loop_
_atom_site_label
_atom_site_fract_x
_atom_site_fract_y
_atom_site_fract_z
Li1 0.737 0.951 0.559
Li2 0.267 0.810 0.678
Li3 0.756 0.698 0.809
Li4 0.250 0.562 0.936
Li5 0.750 0.438 0.064
Li6 0.244 0.302 0.191
Li7 0.733 0.190 0.322
Li8 0.263 0.049 0.441
Li9 0.500 0.500 0.500
Si1 0.004 0.381 0.619
Si2 0.996 0.619 0.381
Ni1 0.504 0.260 0.743
Ni2 0.001 0.131 0.873
Ni3 0.999 0.869 0.127
Ni4 0.500 0.000 0.000
Ni5 0.496 0.740 0.257
O1 0.662 0.565 0.658
O2 0.339 0.175 0.598
O3 0.381 0.946 0.845
O4 0.872 0.082 0.710
O5 0.133 0.462 0.759
O6 0.863 0.797 0.973
O7 0.628 0.316 0.909
O8 0.137 0.203 0.027
O9 0.372 0.684 0.091
O10 0.867 0.538 0.241
O11 0.619 0.054 0.155
O12 0.661 0.825 0.402
O13 0.338 0.435 0.342
O14 0.128 0.918 0.290
O15 0.100 0.687 0.526
O16 0.900 0.313 0.474

=====

No. 3
# Li3SiNiO5, single point on PBEsol structure, DFT SCAN
# E_form (uncorrected) ... -2.233 eV/atom
# Offset from the most stable computed form ... 0.025 eV per atom
# Space-group type ... Pna2_1, No. 33
# Total energy ... -8.6848 eV/atom
# Magnetization ... 12.1 μB/cell
data_Li3SiNiO5
_cell_length_a 4.850
_cell_length_b 5.349
_cell_length_c 15.552
_cell_angle_alpha 90.00
_cell_angle_beta 90.00
_cell_angle_gamma 90.00
_space_group_name_H-M_alt 'P 1'
_space_group_IT_number 1
_space_group_name_Hall 'P 1'
loop_
_atom_site_label
_atom_site_fract_x
_atom_site_fract_y
_atom_site_fract_z
Li1 0.999 0.670 0.593
Li2 0.999 0.170 0.907
Li3 0.503 0.337 0.996
Li4 0.503 0.837 0.504
Li5 0.510 0.329 0.803
Li6 0.510 0.829 0.697
Li7 0.499 0.330 0.407
Li8 0.499 0.830 0.093
Li9 0.003 0.663 0.004
Li10 0.003 0.163 0.496
Li11 0.010 0.171 0.303
Li12 0.010 0.671 0.197
Si1 0.007 0.164 0.098
Si2 0.007 0.664 0.402
Si3 0.507 0.336 0.598
Si4 0.507 0.836 0.902
Ni1 0.999 0.183 0.701
Ni2 0.999 0.683 0.799
Ni3 0.499 0.317 0.201
Ni4 0.499 0.817 0.299
O1 0.096 0.350 0.797
O2 0.096 0.850 0.703
O3 0.103 0.374 0.398
O4 0.103 0.874 0.102
O5 0.106 0.315 0.014
O6 0.106 0.815 0.486
O7 0.111 0.313 0.188
O8 0.111 0.813 0.312
O9 0.161 0.323 0.604
O10 0.161 0.823 0.896
O11 0.596 0.650 0.203
O12 0.596 0.150 0.297
O13 0.603 0.626 0.602
O14 0.603 0.126 0.898
O15 0.606 0.185 0.514
O16 0.606 0.685 0.986
O17 0.611 0.187 0.688
O18 0.611 0.687 0.812
O19 0.661 0.177 0.104
O20 0.661 0.677 0.396